VCuPbO4: relaxed, PBE with a Hubbard U.

Cell lengths 6.083, 5.646, 6.784 Å; angles 90.00, 109.76, 90.00 degrees
Atoms (fractional coordinates):
V (0.249, 0.250, 0.322)
V (0.751, 0.750, 0.678)
Cu (0.125, 0.250, 0.693)
Cu (0.875, 0.750, 0.307)
Pb (0.288, 0.750, 0.061)
Pb (0.712, 0.250, 0.939)
O (0.065, 0.000, 0.236)
O (0.065, 0.500, 0.236)
O (0.385, 0.250, 0.599)
O (0.431, 0.250, 0.175)
O (0.569, 0.750, 0.825)
O (0.615, 0.750, 0.401)
O (0.935, 0.000, 0.764)
O (0.935, 0.500, 0.764)

Results
- Theoretical density: 5.8 g cm⁻³
- Calculated total energy: -6.37 eV per atom
- SG: P2_1/m, No. 11
- Magnetic moment: 0.00 μB per formula unit